(1)
This record from Alexandria via LeMat-Bulk describes crystalline CdSe2Br at its relaxed geometry. The functional is GGA-PBE.

The structure in extended XYZ format:
```
4
Lattice="3.0863 0.0262 0.0000 -0.5893 3.0296 0.0000 0.0000 0.0000 11.4390" Properties=species:S:1:pos:R:3 pbc="T T T"
Se 0.0000 0.0000 6.5220
Se 0.0000 0.0000 10.6365
Br 1.2485 1.5279 2.8598
Cd 1.2485 1.5279 8.5793
```

Formation energy from raw total energies: 0.17 eV per atom
DOS(E_F): 1.70 states/eV per cell
VASP energy: -2.22 eV per atom
Magnetization: 0.000 μB/f.u.

***

(2)
This record from Alexandria via LeMat-Bulk describes crystalline AcCdNi4H6 at its relaxed geometry. The functional is GGA-PBE.

The structure in extended XYZ format:
```
12
Lattice="-4.3702 1.0733 -0.2020 2.2923 -0.8319 -3.7875 -1.6738 -6.7283 0.4648" Properties=species:S:1:pos:R:3 pbc="T T T"
Cd 0.0000 0.0000 0.0000
Ni -3.5283 -5.1046 -1.0142
Ni -2.4443 -0.7473 -1.3153
Ni -0.2234 -1.3823 -2.5104
Ni -1.3074 -5.7397 -2.2094
H -0.0017 -5.0301 -1.5750
H -2.1868 -4.4935 -1.6760
H -1.5649 -1.9934 -1.8487
H 0.6202 -2.5301 -1.7477
H -3.3330 -4.0775 0.2178
H -2.7111 -1.5775 0.0451
Ac -0.8369 -3.3641 0.2324
```

DOS(E_F): 4.58 states/eV per cell
VASP energy: -4.29 eV per atom
Magnetization: 0.000 μB/f.u.

***

(3)
This record from Alexandria via LeMat-Bulk describes crystalline Pu4Se3Br2 at its relaxed geometry. The functional is GGA-PBE.

The structure in extended XYZ format:
```
9
Lattice="0.2301 -2.1757 3.5090 5.4892 -4.5913 -0.7703 7.2156 4.0038 4.4459" Properties=species:S:1:pos:R:3 pbc="T T T"
Br 7.3499 -2.8820 2.6041
Br 5.5851 0.1189 4.5805
Se 3.6956 -1.4548 1.2921
Se 0.0000 0.0000 0.0000
Se 9.2394 -1.3084 5.8925
Pu 4.6433 -4.1253 2.0107
Pu 10.0693 -1.7177 3.1477
Pu 8.2916 1.3621 5.1739
Pu 2.8657 -1.0455 4.0369
```

Formation energy from raw total energies: -1.43 eV per atom
DOS(E_F): 35.42 states/eV per cell
VASP energy: -9.34 eV per atom
Magnetization: 23.624 μB/f.u.

***

(4)
This record from Alexandria via LeMat-Bulk describes crystalline YAl2P2 at its relaxed geometry. The functional is GGA-PBE.

The structure in extended XYZ format:
```
5
Lattice="2.2591 3.4379 -0.9442 -4.0279 -0.2817 -1.2293 -1.7947 2.6291 5.2783" Properties=species:S:1:pos:R:3 pbc="T T T"
P -1.1404 4.1081 2.7955
P -2.4231 1.6772 0.3093
Al -0.4387 3.0801 0.7317
Al -3.1248 2.7052 2.3731
Y 0.0000 0.0000 0.0000
```

DOS(E_F): 2.81 states/eV per cell
VASP energy: -5.49 eV per atom
Magnetization: 0.000 μB/f.u.
Formation enthalpy at 0 K: -2.68 eV/f.u.

***

(5)
This record from Alexandria via LeMat-Bulk describes crystalline RbPu2O6 at its relaxed geometry. The functional is GGA-PBE.

The structure in extended XYZ format:
```
9
Lattice="5.8559 0.0000 0.0000 -2.9280 5.0714 0.0000 0.0000 0.0000 6.0062" Properties=species:S:1:pos:R:3 pbc="T T T"
Rb 0.0000 0.0000 0.0000
O -1.8046 3.1257 1.9401
O 2.2467 0.0000 4.0661
O 1.1234 1.9457 1.9401
O -1.1234 1.9457 4.0661
O 3.6092 0.0000 1.9401
O 1.8046 3.1257 4.0661
Pu 0.0000 3.3809 3.0031
Pu 2.9280 1.6905 3.0031
```

Formation energy from raw total energies: -2.53 eV per atom
DOS(E_F): 11.83 states/eV per cell
VASP energy: -9.12 eV per atom
Magnetization: 5.000 μB/f.u.

***

(6)
This record from Alexandria via LeMat-Bulk describes crystalline LiP2Ru at its relaxed geometry. The functional is GGA-PBE.

The structure in extended XYZ format:
```
8
Lattice="5.7637 0.0000 0.0000 0.0000 5.7637 0.0000 2.8818 2.8818 5.0871" Properties=species:S:1:pos:R:3 pbc="T T T"
P 4.6471 1.4409 1.2718
P 1.1165 4.3227 1.2718
P 4.3227 3.9984 3.8153
P 7.2046 7.5289 3.8153
Ru 5.7637 2.8818 2.5435
Ru 0.0000 0.0000 0.0000
Li 2.8818 5.7637 2.5435
Li 2.8818 2.8818 0.0000
```

DOS(E_F): 2.98 states/eV per cell
VASP energy: -5.65 eV per atom
Magnetization: 0.000 μB/f.u.
Formation enthalpy at 0 K: -0.60 eV/f.u.

***

(7)
This record from Alexandria via LeMat-Bulk describes crystalline SrTbHo4S8 at its relaxed geometry. The functional is GGA-PBE.

The structure in extended XYZ format:
```
14
Lattice="8.1294 0.0000 0.0000 4.0647 7.0403 0.0000 4.0647 2.3468 6.6624" Properties=species:S:1:pos:R:3 pbc="T T T"
S 10.3862 3.3906 4.8839
S 5.9841 5.9321 1.7291
S 8.1294 2.2163 1.7291
S 8.1294 7.2994 4.8839
S 10.2748 5.9321 1.7291
S 5.8727 3.3906 4.8839
S 4.0647 2.3468 1.9572
S 12.1942 7.0403 4.8449
Sr 8.1294 4.6935 5.8401
Ho 2.0626 1.1908 3.3442
Ho 4.0647 4.6587 3.3442
Ho 8.1294 4.6935 0.8303
Ho 6.0669 1.1908 3.3442
Tb 4.0647 2.3468 6.6238
```

Formation energy from raw total energies: -1.99 eV per atom
DOS(E_F): 3.43 states/eV per cell
VASP energy: -6.11 eV per atom
Magnetization: 0.000 μB/f.u.

***

(8)
This record from Alexandria via LeMat-Bulk describes crystalline CeUPO2 at its relaxed geometry. The functional is GGA-PBE.

The structure in extended XYZ format:
```
5
Lattice="-3.2325 1.3900 -1.3448 1.3401 -0.2789 -3.5094 -1.2788 -6.1237 2.0200" Properties=species:S:1:pos:R:3 pbc="T T T"
Ce -2.5602 -3.4836 -2.7224
O -0.4224 -2.8734 -1.9546
O -2.7087 -2.0390 -0.8723
U -0.6243 -1.5624 -0.1142
P -0.9729 0.4886 -2.4320
```

Formation energy from raw total energies: -2.45 eV per atom
DOS(E_F): 9.90 states/eV per cell
VASP energy: -8.96 eV per atom
Magnetization: 2.976 μB/f.u.